Here is a relaxed GaAsIr2 crystal from Alexandria via LeMat-Bulk. Energies are from PBE-GGA.

Energy above the lowest structure with this stoichiometry   0.1654 eV/atom
Formation energy from the elements   0.21 eV/atom
E   -6.1431 eV/atom

Lattice parameters (Å, degrees): 5.605 5.605 6.725 65.37 65.37 90.00
Fractional coordinates of all 8 atoms:
Ir 0.113 0.625 0.250
Ir 0.637 0.125 0.250
Ir 0.375 0.363 0.750
Ir 0.875 0.887 0.750
As 0.750 0.250 0.500
As 0.000 0.000 0.000
Ga 0.250 0.750 0.500
Ga 0.500 0.500 0.000

***

Here is a relaxed Na2ZrC crystal from Alexandria via LeMat-Bulk. Energies are from PBE-GGA.

Formation energy from the elements   0.68 eV/atom
E   -4.4182 eV/atom

Lattice parameters (Å, degrees): 3.477 3.477 11.949 81.63 81.63 90.00
Fractional coordinates of all 8 atoms:
Na 0.375 0.398 0.750
Na 0.602 0.125 0.250
Na 0.148 0.625 0.250
Na 0.875 0.852 0.750
C 0.250 0.750 0.500
C 0.500 0.500 0.000
Zr 0.750 0.250 0.500
Zr 0.000 0.000 0.000

***

Here is a relaxed CrCdSe2 crystal from Alexandria via LeMat-Bulk. Energies are from PBE-GGA.

E   -4.6946 eV/atom

Lattice parameters (Å, degrees): 5.242 4.234 4.232 78.18 90.00 90.00
Last column: magnetic moment on the atom in μB.
Fractional coordinates of all 4 atoms:
Se 0.500 0.294 0.294  -0.08
Se 0.000 0.856 0.856  -0.04
Cd 0.000 0.451 0.451  0.03
Cr 0.500 0.899 0.899  3.66